The following is a DFT calculation (PBE-GGA) of a relaxed InReBiSe2 crystal.

Structure (CIF):
```
data_InReBiSe2
_symmetry_space_group_name_H-M 'P 4/m m m'
_symmetry_Int_Tables_number 123
_symmetry_space_group_name_Hall '-P 4 2'
_cell_length_a 5.662
_cell_length_b 5.662
_cell_length_c 5.376
_cell_angle_alpha 90.00
_cell_angle_beta 90.00
_cell_angle_gamma 90.00
loop_
_atom_site_label
_atom_site_type_symbol
_atom_site_fract_x
_atom_site_fract_y
_atom_site_fract_z
_atom_site_occupancy
In1 In 0.000 0.000 0.000 1
Re1 Re 0.500 0.500 0.000 1
Bi1 Bi 0.500 0.500 0.500 1
Se1 Se 0.000 0.500 0.500 1
```

As for the formation energy from raw total energies: 1.22 eV per atom.